Here is YRh2Pb after structural relaxation from Alexandria. Energies are from PBE-GGA.

The density of states at the Fermi level is 6.36 states/eV/f.u. The calculation puts the total energy at -6.36 eV per atom. The formation energy comes out at -0.15 eV/atom. The calculated density comes out at 10.533 g/cm3.

The structure belongs to space group F-43m (No. 216); the cell edges are 6.815, 6.815 and 6.815 Å and the angles 90.00°, 90.00° and 90.00°. The distinct sites, in fractional coordinates, are Y at (0.000, 0.000, 0.000), Rh at (0.000, 0.000, 0.500), Rh at (0.250, 0.250, 0.750) and Pb at (0.250, 0.250, 0.250).